An optimized crystal structure of Rb8Hg2Pt. Source: the Alexandria database, functional PBE-GGA.

a b c (Å): 6.1902 9.9756 17.7861
angles (deg): 90.00 90.00 90.00
Space group Immm (No. 71)
One atom of each set of equivalent atoms:
1 Rb 0.0000 0.0000 0.1363 (multiplicity 4)
2 Rb 0.0000 0.2378 0.3523 (multiplicity 8)
3 Rb 0.0000 0.3011 0.0000 (multiplicity 4)
4 Hg 0.0000 0.5000 0.1872 (multiplicity 4)
5 Pt 0.0000 0.5000 0.5000 (multiplicity 2)

Computed properties:
The value obtained for the density of states at the Fermi level is 0.30 states/eV per atom. The total energy comes out at -1.304 eV/atom. The total moment comes out at 0.0 μB/cell. Its formation energy is 3.7 meV/atom.